1.
Density functional theory data (PBE-GGA) for a relaxed ZnAgF2 crystal. Values from VASP.

```
&SYSTEM
  ibrav = 0, nat = 8, ntyp = 3
/
ATOMIC_SPECIES
F 19.00 F.upf
Ag 107.87 Ag.upf
Zn 65.41 Zn.upf
ATOMIC_POSITIONS crystal
F 0.875 0.787 0.750
F 0.375 0.463 0.750
F 0.537 0.125 0.250
Ag 0.750 0.250 0.500
F 0.213 0.625 0.250
Ag 0.000 0.000 0.000
Zn 0.500 0.500 0.000
Zn 0.250 0.750 0.500
CELL_PARAMETERS angstrom
-1.472 1.874 4.683
0.172 -4.856 1.997
3.817 -0.860 4.491
```

Values from the calculation:
**Distance to the lowest polymorph of the same formula**: 225 meV per atom
**Space-group type**: I-42d, No. 122

2.
Density functional theory data (PBE-GGA) for a relaxed ZnAgF3 crystal. Values from VASP.

```
&SYSTEM
  ibrav = 0, nat = 10, ntyp = 3
/
ATOMIC_SPECIES
F 19.00 F.upf
Zn 65.41 Zn.upf
Ag 107.87 Ag.upf
ATOMIC_POSITIONS crystal
F 0.750 0.414 0.334
F 0.250 0.947 0.397
F 0.250 0.197 0.882
F 0.750 0.803 0.118
Zn 0.750 0.924 0.353
Ag 0.250 0.320 0.150
Zn 0.250 0.076 0.647
F 0.250 0.586 0.666
Ag 0.750 0.680 0.850
F 0.750 0.053 0.603
CELL_PARAMETERS angstrom
4.041 0.000 0.000
0.000 4.058 -0.009
0.000 -2.062 8.627
```

Values from the calculation:
**Space-group type**: P2_1/m, No. 11

no.,ΔE_f (raw) (meV per atom),V (Å³ per atom)
1,-1219,16.1
2,-1734,14.1